Record 1
Density functional theory data (PBE-GGA) for crystalline Pu3Ge2O at its relaxed geometry.

a = 3.4417 Å, b = 4.9001 Å, c = 15.7342 Å
α = 90.00°, β = 90.00°, γ = 90.00°
Space group Immm (No. 71)
Symmetry-distinct sites (fractional):
1 Pu 0.0000 0.0000 0.0000 x2
2 Pu 0.0000 0.5000 0.1461 x4
3 Ge 0.0000 0.5000 0.3385 x4
4 O 0.0000 0.5000 0.0000 x2

Output
Total energy ... -10.458 eV/atom
Formation energy (no corrections) ... -926 meV per atom
Total moment ... 31.68 Bohr magnetons per cell
D(E_F) ... 38.99 states/eV/cell

***

Record 2
Density functional theory data (PBE-GGA) for crystalline Bi7Pd4Au at its relaxed geometry.

a = 14.4964 Å, b = 5.4043 Å, c = 10.1525 Å
α = 90.00°, β = 129.15°, γ = 90.00°
Space group C2/m (No. 12)
Symmetry-distinct sites (fractional):
1 Bi 0.0000 0.0000 0.0000 x2
2 Bi 0.0574 0.5000 0.3214 x4
3 Bi 0.1607 0.0000 0.5875 x4
4 Bi 0.2234 0.5000 0.8710 x4
5 Pd 0.0655 0.0000 0.7656 x4
6 Pd 0.2167 0.0000 0.3564 x4
7 Au 0.0000 0.5000 0.0000 x2

Output
Total energy ... -4.382 eV/atom
Total moment ... 0.00 Bohr magnetons per cell
D(E_F) ... 8.54 states/eV/cell

***

Record 3
Density functional theory data (PBE-GGA) for crystalline Li2Nd2MgIn5 at its relaxed geometry.

a = 10.2487 Å, b = 10.2487 Å, c = 4.4467 Å
α = 90.00°, β = 90.00°, γ = 90.00°
Space group P4/mbm (No. 127)
Symmetry-distinct sites (fractional):
1 Li 0.1123 0.3877 0.0000 x4
2 Nd 0.1814 0.6814 0.0000 x4
3 Mg 0.0000 0.0000 0.0000 x2
4 In 0.0000 0.5000 0.5000 x2
5 In 0.0630 0.2064 0.5000 x8

Output
Total energy ... -3.238 eV/atom
Total moment ... 0.00 Bohr magnetons per cell
D(E_F) ... 4.72 states/eV/cell

***

Record 4
Density functional theory data (PBE-GGA) for crystalline TlB2H8 at its relaxed geometry.

a = 5.9230 Å, b = 16.5118 Å, c = 2.6065 Å
α = 90.00°, β = 92.19°, γ = 90.00°
Space group C2/m (No. 12)
Symmetry-distinct sites (fractional):
1 Tl 0.0000 0.0000 0.0000 x2
2 B 0.0000 0.3152 0.5000 x4
3 H 0.0000 0.2719 0.0000 x4
4 H 0.0639 0.5000 0.0273 x4
5 H 0.1802 0.3484 0.5165 x8

Output
Total energy ... -3.584 eV/atom
Total moment ... 1.13 Bohr magnetons per cell
D(E_F) ... 6.29 states/eV/cell
E above lowest polymorph ... 176 meV/atom

***

Record 5
Density functional theory data (PBE-GGA) for crystalline Sc8Ge3Te4Se at its relaxed geometry.

a = 8.0206 Å, b = 8.0206 Å, c = 20.0661 Å
α = 90.00°, β = 90.00°, γ = 120.00°
Space group R-3m (No. 166, hexagonal axes)
Symmetry-distinct sites (fractional):
1 Sc 0.0000 0.0000 0.2397 x6
2 Sc 0.0080 0.5040 0.7607 x18
3 Ge 0.0000 0.5000 0.5000 x9
4 Te 0.0000 0.0000 0.0000 x3
5 Te 0.0000 0.5000 0.0000 x9
6 Se 0.0000 0.0000 0.5000 x3

Output
Total energy ... -6.179 eV/atom
Formation energy (no corrections) ... -1144 meV per atom
Total moment ... 0.00 Bohr magnetons per cell
D(E_F) ... 13.45 states/eV/cell

***

Record 6
Density functional theory data (PBE-GGA) for crystalline Mn2TeCl at its relaxed geometry.

a = 13.5456 Å, b = 3.9085 Å, c = 3.9241 Å
α = 90.00°, β = 105.60°, γ = 90.00°
Space group Cm (No. 8)
Symmetry-distinct sites (fractional):
1 Mn 0.0000 0.0000 0.0000 x2
2 Mn 0.1815 0.0000 0.6871 x2
3 Te 0.1561 0.5000 0.1641 x2
4 Cl 0.3786 0.0000 0.8683 x2

Output
Total energy ... -5.976 eV/atom
Formation energy (no corrections) ... -144 meV per atom
Total moment ... 17.44 Bohr magnetons per cell
D(E_F) ... 2.06 states/eV/cell
E above lowest polymorph ... 9 meV/atom

***

Record 7
Density functional theory data (PBE-GGA) for crystalline CoI4 at its relaxed geometry.

a = 5.3573 Å, b = 5.3573 Å, c = 5.3573 Å
α = 90.00°, β = 90.00°, γ = 90.00°
Space group Pm-3m (No. 221)
Symmetry-distinct sites (fractional):
1 Co 0.0000 0.0000 0.0000 x1
2 I 0.0000 0.0000 0.5000 x3
3 I 0.5000 0.5000 0.5000 x1

Output
Total energy ... -2.360 eV/atom
Formation energy (no corrections) ... 301 meV per atom
Total moment ... 1.87 Bohr magnetons per cell
D(E_F) ... 9.09 states/eV/cell

***

Record 8
Density functional theory data (PBE-GGA) for crystalline K2Ba2USe6 at its relaxed geometry.

a = 8.0846 Å, b = 13.3881 Å, c = 8.1118 Å
α = 90.00°, β = 109.06°, γ = 90.00°
Space group C2/m (No. 12)
Symmetry-distinct sites (fractional):
1 K 0.0000 0.1718 0.0000 x4
2 Ba 0.0000 0.3369 0.5000 x4
3 U 0.0000 0.0000 0.5000 x2
4 Se 0.2046 0.0000 0.2928 x4
5 Se 0.2090 0.1432 0.7062 x8

Output
Total energy ... -4.947 eV/atom
Formation energy (no corrections) ... -1471 meV per atom
Total moment ... 0.00 Bohr magnetons per cell

***

Record 9
Density functional theory data (PBE-GGA) for crystalline Sc2ReBr at its relaxed geometry.

a = 3.3883 Å, b = 3.2938 Å, c = 7.7524 Å
α = 90.00°, β = 90.03°, γ = 90.00°
Space group P2/m (No. 10)
Symmetry-distinct sites (fractional):
1 Sc 0.0039 0.0000 0.1957 x2
2 Re 0.5000 0.5000 0.0000 x1
3 Br 0.0000 0.5000 0.5000 x1

Output
Total energy ... -7.231 eV/atom
Formation energy (no corrections) ... -535 meV per atom
Total moment ... 0.00 Bohr magnetons per cell
D(E_F) ... 2.27 states/eV/cell
E above lowest polymorph ... 0 meV/atom

***

Record 10
Density functional theory data (PBE-GGA) for crystalline CdPb2Au at its relaxed geometry.

a = 12.0483 Å, b = 3.5899 Å, c = 5.3604 Å
α = 90.00°, β = 115.31°, γ = 90.00°
Space group Cm (No. 8)
Symmetry-distinct sites (fractional):
1 Cd 0.0000 0.0000 0.0000 x2
2 Pb 0.2260 0.0000 0.7428 x2
3 Pb 0.4384 0.0000 0.4410 x2
4 Au 0.2055 0.5000 0.2310 x2

Output
Total energy ... -2.912 eV/atom
Total moment ... 0.00 Bohr magnetons per cell
D(E_F) ... 3.21 states/eV/cell

***

Record 11
Density functional theory data (PBE-GGA) for crystalline Tb6MgSc12 at its relaxed geometry.

a = 11.6626 Å, b = 11.6626 Å, c = 13.2011 Å
α = 90.00°, β = 90.00°, γ = 120.00°
Space group R-3 (No. 148, hexagonal axes)
Symmetry-distinct sites (fractional):
1 Tb 0.0236 0.5947 0.2128 x18
2 Mg 0.0000 0.0000 0.5000 x3
3 Sc 0.0467 0.8679 0.3097 x18
4 Sc 0.0629 0.1896 0.9043 x18

Output
Total energy ... -5.382 eV/atom
Total moment ... 0.02 Bohr magnetons per cell
D(E_F) ... 112.37 states/eV/cell

***

Record 12
Density functional theory data (PBE-GGA) for crystalline Pm4Al2Br5 at its relaxed geometry.

a = 24.3117 Å, b = 3.8847 Å, c = 8.8153 Å
α = 90.00°, β = 98.25°, γ = 90.00°
Space group C2/m (No. 12)
Symmetry-distinct sites (fractional):
1 Pm 0.0220 0.0000 0.2751 x4
2 Pm 0.1652 0.5000 0.4455 x4
3 Al 0.0525 0.5000 0.5494 x4
4 Br 0.0000 0.5000 0.0000 x2
5 Br 0.1382 0.0000 0.1942 x4
6 Br 0.2210 0.0000 0.6719 x4

Output
Total energy ... -4.283 eV/atom
Formation energy (no corrections) ... -1115 meV per atom
Total moment ... 0.01 Bohr magnetons per cell
D(E_F) ... 15.05 states/eV/cell

***

Record 13
Density functional theory data (PBE-GGA) for crystalline BeFeCo2 at its relaxed geometry.

a = 2.4202 Å, b = 3.8423 Å, c = 4.4841 Å
α = 90.00°, β = 97.63°, γ = 90.00°
Space group P2/m (No. 10)
Symmetry-distinct sites (fractional):
1 Be 0.0000 0.0000 0.0000 x1
2 Fe 0.5000 0.0000 0.5000 x1
3 Co 0.2422 0.5000 0.7616 x2

Output
Total energy ... -6.657 eV/atom
Total moment ... 5.15 Bohr magnetons per cell
D(E_F) ... 3.23 states/eV/cell

***

Record 14
Density functional theory data (PBE-GGA) for crystalline Tb4PmHg5 at its relaxed geometry.

a = 3.7513 Å, b = 3.7513 Å, c = 18.7795 Å
α = 90.00°, β = 90.00°, γ = 90.00°
Space group P4/mmm (No. 123)
Symmetry-distinct sites (fractional):
1 Tb 0.0000 0.0000 0.0990 x2
2 Tb 0.0000 0.0000 0.2975 x2
3 Pm 0.0000 0.0000 0.5000 x1
4 Hg 0.5000 0.5000 0.0000 x1
5 Hg 0.5000 0.5000 0.1983 x2
6 Hg 0.5000 0.5000 0.3939 x2

Output
Total energy ... -2.957 eV/atom
Total moment ... 1.15 Bohr magnetons per cell
D(E_F) ... 11.48 states/eV/cell

***

Record 15
Density functional theory data (PBE-GGA) for crystalline Cs3BeRh at its relaxed geometry.

a = 6.2002 Å, b = 6.2002 Å, c = 6.2002 Å
α = 90.00°, β = 90.00°, γ = 90.00°
Space group Pm-3m (No. 221)
Symmetry-distinct sites (fractional):
1 Cs 0.0000 0.0000 0.5000 x3
2 Be 0.5000 0.5000 0.5000 x1
3 Rh 0.0000 0.0000 0.0000 x1

Output
Total energy ... -1.807 eV/atom
Total moment ... 0.00 Bohr magnetons per cell
D(E_F) ... 4.34 states/eV/cell
E above lowest polymorph ... 0 meV/atom

***

Record 16
Density functional theory data (PBE-GGA) for crystalline Al6Fe5Ni at its relaxed geometry.

a = 4.0656 Å, b = 12.1842 Å, c = 5.7353 Å
α = 90.00°, β = 90.00°, γ = 90.00°
Space group Cmmm (No. 65)
Symmetry-distinct sites (fractional):
1 Al 0.0000 0.0000 0.2473 x4
2 Al 0.0000 0.3318 0.2497 x8
3 Fe 0.0000 0.1658 0.0000 x4
4 Fe 0.0000 0.1655 0.5000 x4
5 Fe 0.0000 0.5000 0.0000 x2
6 Ni 0.0000 0.5000 0.5000 x2

Output
Total energy ... -6.272 eV/atom
Total moment ... 4.78 Bohr magnetons per cell
D(E_F) ... 22.21 states/eV/cell

***

Record 17
Density functional theory data (PBE-GGA) for crystalline AlFe4As at its relaxed geometry.

a = 6.7628 Å, b = 6.7628 Å, c = 6.7628 Å
α = 90.00°, β = 90.00°, γ = 90.00°
Space group F-43m (No. 216)
Symmetry-distinct sites (fractional):
1 Al 0.0000 0.0000 0.0000 x4
2 Fe 0.1253 0.1253 0.3747 x16
3 As 0.2500 0.2500 0.7500 x4

Output
Total energy ... -6.940 eV/atom
Total moment ... 31.16 Bohr magnetons per cell
D(E_F) ... 16.61 states/eV/cell

***

Record 18
Density functional theory data (PBE-GGA) for crystalline Ac2PmAg6 at its relaxed geometry.

a = 3.8993 Å, b = 8.1251 Å, c = 15.3098 Å
α = 90.00°, β = 90.00°, γ = 90.00°
Space group Immm (No. 71)
Symmetry-distinct sites (fractional):
1 Ac 0.0000 0.0000 0.1420 x4
2 Pm 0.0000 0.5000 0.0000 x2
3 Ag 0.0000 0.1730 0.3318 x8
4 Ag 0.0000 0.3133 0.5000 x4

Output
Total energy ... -3.497 eV/atom
Total moment ... 0.00 Bohr magnetons per cell
D(E_F) ... 11.39 states/eV/cell
E above lowest polymorph ... 116 meV/atom

***

Record 19
Density functional theory data (PBE-GGA) for crystalline TiTc2P2 at its relaxed geometry.

a = 6.8791 Å, b = 6.8791 Å, c = 2.9099 Å
α = 90.00°, β = 90.00°, γ = 90.00°
Space group P4/mbm (No. 127)
Symmetry-distinct sites (fractional):
1 Ti 0.0000 0.0000 0.0000 x2
2 Tc 0.1445 0.3555 0.5000 x4
3 P 0.1543 0.6543 0.0000 x4

Output
Total energy ... -8.383 eV/atom
Total moment ... 0.00 Bohr magnetons per cell
D(E_F) ... 8.56 states/eV/cell
E above lowest polymorph ... 0 meV/atom

***

Record 20
Density functional theory data (PBE-GGA) for crystalline RbTlHgPb at its relaxed geometry.

a = 8.0837 Å, b = 8.0837 Å, c = 8.0837 Å
α = 90.00°, β = 90.00°, γ = 90.00°
Space group F-43m (No. 216)
Symmetry-distinct sites (fractional):
1 Rb 0.0000 0.0000 0.0000 x4
2 Tl 0.2500 0.2500 0.7500 x4
3 Hg 0.2500 0.2500 0.2500 x4
4 Pb 0.0000 0.0000 0.5000 x4

Output
Total energy ... -1.902 eV/atom
Total moment ... 0.00 Bohr magnetons per cell
D(E_F) ... 4.14 states/eV/cell
E above lowest polymorph ... 24 meV/atom

***

Record 21
Density functional theory data (PBE-GGA) for crystalline YScCdCu at its relaxed geometry.

a = 3.4075 Å, b = 3.4075 Å, c = 7.4678 Å
α = 90.00°, β = 90.00°, γ = 90.00°
Space group P4mm (No. 99)
Symmetry-distinct sites (fractional):
1 Y 0.0000 0.0000 0.0000 x1
2 Sc 0.0000 0.0000 0.5588 x1
3 Cd 0.5000 0.5000 0.2985 x1
4 Cu 0.5000 0.5000 0.7490 x1

Output
Total energy ... -4.730 eV/atom
Total moment ... 0.00 Bohr magnetons per cell
D(E_F) ... 3.06 states/eV/cell
E above lowest polymorph ... 0 meV/atom

***

Record 22
Density functional theory data (PBE-GGA) for crystalline CdMoPb2 at its relaxed geometry.

a = 11.1131 Å, b = 3.1186 Å, c = 5.6429 Å
α = 90.00°, β = 101.52°, γ = 90.00°
Space group C2/m (No. 12)
Symmetry-distinct sites (fractional):
1 Cd 0.0000 0.0000 0.0000 x2
2 Mo 0.0000 0.5000 0.5000 x2
3 Pb 0.2250 0.0000 0.7335 x4

Output
Total energy ... -4.176 eV/atom
Total moment ... 1.66 Bohr magnetons per cell
D(E_F) ... 5.36 states/eV/cell

***

Record 23
Density functional theory data (PBE-GGA) for crystalline LuMgPt2 at its relaxed geometry.

a = 4.6028 Å, b = 4.6028 Å, c = 3.4296 Å
α = 90.00°, β = 90.00°, γ = 90.00°
Space group P4/mmm (No. 123)
Symmetry-distinct sites (fractional):
1 Lu 0.0000 0.0000 0.0000 x1
2 Mg 0.5000 0.5000 0.0000 x1
3 Pt 0.0000 0.5000 0.5000 x2

Output
Total energy ... -5.626 eV/atom
Total moment ... 0.00 Bohr magnetons per cell
D(E_F) ... 1.60 states/eV/cell

***

Record 24
Density functional theory data (PBE-GGA) for crystalline HoPuPd6 at its relaxed geometry.

a = 4.1244 Å, b = 4.1244 Å, c = 8.2623 Å
α = 90.00°, β = 90.00°, γ = 90.00°
Space group P4/mmm (No. 123)
Symmetry-distinct sites (fractional):
1 Ho 0.0000 0.0000 0.0000 x1
2 Pu 0.0000 0.0000 0.5000 x1
3 Pd 0.0000 0.5000 0.2510 x4
4 Pd 0.5000 0.5000 0.0000 x1
5 Pd 0.5000 0.5000 0.5000 x1

Output
Total energy ... -6.989 eV/atom
Total moment ... 4.13 Bohr magnetons per cell
D(E_F) ... 17.71 states/eV/cell